Record 1
Compound: KInPb
Source: Alexandria via LeMat-Bulk
Functional: PBE-GGA
Structure: relaxed

Cell lengths 6.773, 6.773, 6.773 Å; angles 133.28, 98.85, 99.24 degrees
Positions (direct):
K: 0.000 0.000 0.000
K: 0.630 0.130 0.500
In: 0.235 0.403 0.831
In: 0.572 0.403 0.169
Pb: 0.040 0.722 0.319
Pb: 0.403 0.722 0.681

Calculated values
The symmetry is Imm2 (44). The calculation puts the formation energy at -0.17 eV/atom.

---

Record 2
Compound: Si2PAu
Source: Alexandria via LeMat-Bulk
Functional: PBE-GGA
Structure: relaxed

Cell lengths 3.105, 3.105, 6.795 Å; angles 90.00, 90.00, 90.00 degrees
Positions (direct):
Si: 0.000 0.000 0.000
Si: 0.500 0.500 0.279
P: 0.500 0.500 0.845
Au: 0.000 0.000 0.528

Calculated values
The symmetry is P4mm (99). The raw formation energy comes out at 0.435 eV per atom.

---

Record 3
Compound: SrLiAs
Source: Alexandria via LeMat-Bulk
Functional: PBE-GGA
Structure: relaxed

Cell lengths 7.496, 4.478, 12.889 Å; angles 90.00, 90.10, 90.00 degrees
Positions (direct):
Sr: 0.012 0.250 0.304
Sr: 0.337 0.750 0.921
Sr: 0.487 0.750 0.627
Sr: 0.513 0.250 0.373
Sr: 0.663 0.250 0.079
Sr: 0.988 0.750 0.696
Li: 0.003 0.250 0.910
Li: 0.143 0.250 0.541
Li: 0.343 0.750 0.201
Li: 0.657 0.250 0.799
Li: 0.857 0.750 0.459
Li: 0.997 0.750 0.090
As: 0.225 0.750 0.433
As: 0.227 0.250 0.095
As: 0.274 0.250 0.753
As: 0.726 0.750 0.247
As: 0.773 0.750 0.905
As: 0.775 0.250 0.567

Calculated values
The symmetry is P2_1/m (11). The calculation puts the formation energy at -1.02 eV/atom.

---

Record 4
Compound: LiZnIn2N
Source: Alexandria via LeMat-Bulk
Functional: PBE-GGA
Structure: relaxed

Cell lengths 4.990, 4.990, 4.571 Å; angles 90.00, 90.00, 90.00 degrees
Positions (direct):
Li: 0.000 0.000 0.000
Zn: 0.000 0.000 0.500
In: 0.000 0.500 0.500
In: 0.500 0.000 0.500
N: 0.500 0.500 0.000

Calculated values
The symmetry is P4/mmm (123). The raw formation energy comes out at 1.137 eV per atom.

---

| no. | magnetic moment (Bohr magnetons per cell) |
| --- | --- |
| 1 | 0.0 |
| 2 | 0.0 |
| 3 | 0.0 |
| 4 | 0.0 |